First-principles (GGA-PBE) data for a relaxed structure of BeZn2Mo, as listed in Alexandria via LeMat-Bulk.

Cell: 3.5201 3.5201 9.4611 Å, 79.28 79.28 90.00°
Atoms (fractional coordinates):
Be1 0.5000 0.5000 0.0000
Be2 0.2500 0.7500 0.5000
Mo1 0.0000 0.0000 0.0000
Mo2 0.7500 0.2500 0.5000
Zn1 0.6166 0.1250 0.2500
Zn2 0.1334 0.6250 0.2500
Zn3 0.3750 0.3834 0.7500
Zn4 0.8750 0.8666 0.7500

## Properties
For the calculated total energy, the calculation gives -30.69 eV for the cell shown. As for the size of the total moment: 0.101 μB/cell.